{"formula": "SrHoAgS3", "functional": "PBE", "state": "optimized geometry", "e_tot_ev_per_atom": -5.17, "lattice_angstrom": [[7.621, 0.000, 0.000], [0.000, 4.012, 0.000], [-2.683, 0.000, 9.229]], "species": ["Sr", "Sr", "Ho", "Ho", "Ag", "Ag", "S", "S", "S", "S", "S", "S"], "frac_coords": [[0.242, 0.250, 0.209], [0.758, 0.750, 0.791], [0.194, 0.750, 0.654], [0.806, 0.250, 0.346], [0.397, 0.250, 0.908], [0.603, 0.750, 0.092], [0.062, 0.750, 0.361], [0.209, 0.750, 0.953], [0.440, 0.250, 0.658], [0.560, 0.750, 0.342], [0.791, 0.250, 0.047], [0.938, 0.250, 0.639]]}